(1)
Computed, not measured: a geometry-optimized SrZn3Cu structure at the PBE level of DFT.

It has space group Cmcm (No. 63), with a = 6.1607 Å, b = 10.4915 Å, c = 6.2550 Å, α = 90.00°, β = 90.00° and γ = 90.00°. The inequivalent atoms are Sr at (0.0000, 0.2398, 0.2500), Zn at (0.0000, 0.1197, 0.7500), Zn at (0.2190, 0.5000, 0.0000) and Cu at (0.0000, 0.3591, 0.7500).

The value obtained for the formation energy from the elements is -0.179 eV/atom. As for the spin magnetization: 0.0 Bohr magnetons per cell. For the energy relative to the lowest polymorph listed for this composition, the calculation gives 0.000 eV/f.u. The value obtained for the mass density is 5.71 g/cm3. The calculation puts the final energy at -2.10 eV/atom.



(2)
Computed, not measured: a geometry-optimized Zr7Si structure at the PBE level of DFT.

It has space group Fm-3m (No. 225), with a = 8.8493 Å, b = 8.8493 Å, c = 8.8493 Å, α = 90.00°, β = 90.00° and γ = 90.00°. The inequivalent atoms are Zr at (0.0000, 0.0000, 0.0000), Zr at (0.0000, 0.2500, 0.2500) and Si at (0.0000, 0.0000, 0.5000).

As for the spin magnetization: 0.0 Bohr magnetons per cell. The value obtained for the mass density is 6.39 g/cm3. The calculation puts the final energy at -8.27 eV/atom. The value obtained for the energy relative to the elements, uncorrected is -0.1108 eV per atom.



(3)
Computed, not measured: a geometry-optimized Ca2SiSe structure at the PBE level of DFT.

It has space group R-3m (No. 166, hexagonal axes), with a = 3.9564 Å, b = 3.9564 Å, c = 23.8031 Å, α = 90.00°, β = 90.00° and γ = 120.00°. The inequivalent atoms are Ca at (0.0000, 0.0000, 0.2421), Si at (0.0000, 0.0000, 0.0000) and Se at (0.0000, 0.0000, 0.5000).

As for the spin magnetization: 0.0 Bohr magnetons per cell. For the energy relative to the lowest polymorph listed for this composition, the calculation gives 0.000 eV/f.u. The value obtained for the mass density is 2.89 g/cm3. The calculation puts the final energy at -4.19 eV/atom. The value obtained for the energy relative to the elements, uncorrected is -0.9575 eV per atom.



What is the mass density in the second record? 6.39 g/cm3